Compound: MnSi2W
Source: the Alexandria database
Functional: SCAN
Structure: single point on PBEsol structure

Summary:
M_tot: 1.920 μB per formula unit
formation energy (no corrections): 0.1727 eV per atom
electronic total energy: -26.8210 eV per atom
symmetry: No. 35

Cell lengths 2.631, 2.631, 7.893 Å; angles 90.00, 90.00, 101.05 degrees
Element x y z (fractional)
Mn1 0.500 0.500 0.237
Si1 0.000 0.000 0.026
Si2 0.500 0.500 0.746
W1 0.000 0.000 0.491

Compound: YMn2Si2
Source: the Alexandria database
Functional: SCAN
Structure: single point on PBEsol structure

Summary:
M_tot: 4.144 μB per formula unit
formation energy (no corrections): -0.7219 eV per atom
electronic total energy: -17.5988 eV per atom
symmetry: No. 139

Cell lengths 3.845, 3.845, 5.791 Å; angles 109.39, 109.39, 90.00 degrees
Element x y z (fractional)
Y1 0.000 0.000 0.000
Si1 0.379 0.379 0.759
Si2 0.621 0.621 0.241
Mn1 0.250 0.750 0.500
Mn2 0.750 0.250 0.500

Compound: Y2Mn3Si5
Source: the Alexandria database
Functional: SCAN
Structure: single point on PBEsol structure

Summary:
M_tot: 0.901 μB per formula unit
formation energy (no corrections): -0.6541 eV per atom
electronic total energy: -16.7071 eV per atom
symmetry: No. 128

Cell lengths 5.365, 10.458, 10.458 Å; angles 90.00, 90.00, 90.00 degrees
Element x y z (fractional)
Y1 0.500 0.576 0.736
Y2 0.500 0.424 0.264
Y3 0.000 0.076 0.764
Y4 0.000 0.924 0.236
Y5 0.500 0.264 0.576
Y6 0.500 0.736 0.424
Y7 0.000 0.236 0.076
Y8 0.000 0.764 0.924
Mn1 0.500 0.879 0.854
Mn2 0.500 0.121 0.146
Mn3 0.000 0.379 0.646
Mn4 0.000 0.621 0.354
Mn5 0.500 0.146 0.879
Mn6 0.500 0.854 0.121
Mn7 0.000 0.354 0.379
Mn8 0.000 0.646 0.621
Mn9 0.250 0.500 0.000
Mn10 0.750 0.000 0.500
Mn11 0.250 0.000 0.500
Mn12 0.750 0.500 0.000
Si1 0.250 0.674 0.174
Si2 0.250 0.326 0.826
Si3 0.750 0.174 0.326
Si4 0.750 0.826 0.674
Si5 0.250 0.826 0.674
Si6 0.250 0.174 0.326
Si7 0.750 0.674 0.174
Si8 0.750 0.326 0.826
Si9 0.240 0.500 0.500
Si10 0.740 0.000 0.000
Si11 0.760 0.500 0.500
Si12 0.260 0.000 0.000
Si13 0.500 0.685 0.975
Si14 0.500 0.315 0.025
Si15 0.000 0.185 0.525
Si16 0.000 0.815 0.475
Si17 0.500 0.025 0.685
Si18 0.500 0.975 0.315
Si19 0.000 0.475 0.185
Si20 0.000 0.525 0.815

Compound: MnZn2Si
Source: the Alexandria database
Functional: SCAN
Structure: single point on PBEsol structure

Summary:
M_tot: 2.735 μB per formula unit
formation energy (no corrections): -0.0147 eV per atom
electronic total energy: -13.8400 eV per atom
symmetry: No. 12

Cell lengths 2.615, 4.310, 5.247 Å; angles 114.01, 104.05, 90.89 degrees
Element x y z (fractional)
Mn1 0.500 0.500 0.000
Si1 0.000 0.000 0.000
Zn1 0.000 0.000 0.500
Zn2 0.500 0.500 0.500

Compound: MnZn2Si
Source: the Alexandria database
Functional: SCAN
Structure: single point on PBEsol structure

Summary:
M_tot: 2.742 μB per formula unit
formation energy (no corrections): 0.0192 eV per atom
electronic total energy: -13.8061 eV per atom
symmetry: No. 160

Cell lengths 2.690, 2.690, 8.413 Å; angles 80.80, 80.80, 60.00 degrees
Element x y z (fractional)
Mn1 0.504 0.504 0.489
Si1 0.244 0.244 0.269
Zn1 0.999 0.999 0.004
Zn2 0.754 0.754 0.738

Compound: Zr2MnSi2
Source: the Alexandria database
Functional: SCAN
Structure: single point on PBEsol structure

Summary:
M_tot: 2.392 μB per formula unit
formation energy (no corrections): -0.7908 eV per atom
electronic total energy: -20.7277 eV per atom
symmetry: No. 127

Cell lengths 3.992, 6.328, 6.328 Å; angles 90.00, 90.00, 90.00 degrees
Element x y z (fractional)
Si1 0.000 0.365 0.865
Si2 0.000 0.865 0.635
Si3 0.000 0.635 0.135
Si4 0.000 0.135 0.365
Mn1 0.000 0.000 0.000
Mn2 0.000 0.500 0.500
Zr1 0.500 0.173 0.673
Zr2 0.500 0.673 0.827
Zr3 0.500 0.827 0.327
Zr4 0.500 0.327 0.173

Compound: Zr2MnSi
Source: the Alexandria database
Functional: SCAN
Structure: single point on PBEsol structure

Summary:
M_tot: 2.136 μB per formula unit
formation energy (no corrections): -0.5549 eV per atom
electronic total energy: -22.9720 eV per atom
symmetry: No. 38

Cell lengths 3.574, 3.825, 5.288 Å; angles 90.00, 109.75, 90.00 degrees
Element x y z (fractional)
Mn1 0.837 0.000 0.673
Si1 0.683 0.500 0.366
Zr1 0.111 0.000 0.221
Zr2 0.396 0.500 0.792

Compound: Zr2MnSi
Source: the Alexandria database
Functional: SCAN
Structure: single point on PBEsol structure

Summary:
M_tot: 0.000 μB per formula unit
formation energy (no corrections): -0.2937 eV per atom
electronic total energy: -22.7108 eV per atom
symmetry: No. 44

Cell lengths 3.130, 4.421, 5.486 Å; angles 113.77, 106.58, 90.00 degrees
Element x y z (fractional)
Mn1 0.489 0.489 0.978
Si1 0.796 0.296 0.593
Zr1 0.996 0.996 0.992
Zr2 0.219 0.719 0.437

Compound: Zr2MnSi
Source: the Alexandria database
Functional: SCAN
Structure: single point on PBEsol structure

Summary:
M_tot: 0.410 μB per formula unit
formation energy (no corrections): -0.3111 eV per atom
electronic total energy: -22.7282 eV per atom
symmetry: No. 47

Cell lengths 3.246, 3.448, 5.899 Å; angles 90.00, 90.00, 90.00 degrees
Element x y z (fractional)
Mn1 0.500 0.500 0.000
Si1 0.500 0.500 0.500
Zr1 0.000 0.000 0.752
Zr2 0.000 0.000 0.248

Compound: SmMn6Sn6
Source: the Alexandria database
Functional: SCAN
Structure: single point on PBEsol structure

Summary:
M_tot: 14.073 μB per formula unit
electronic total energy: -28.6553 eV per atom
symmetry: No. 191
energy relative to the elements: -291 kJ/mol of formula units

Cell lengths 5.384, 5.384, 8.848 Å; angles 90.00, 90.00, 120.00 degrees
Element x y z (fractional)
Sm1 0.000 0.000 0.000
Mn1 0.500 0.000 0.249
Mn2 0.500 0.500 0.249
Mn3 0.000 0.500 0.249
Mn4 0.500 0.000 0.751
Mn5 0.500 0.500 0.751
Mn6 0.000 0.500 0.751
Sn1 0.333 0.667 0.000
Sn2 0.667 0.333 0.000
Sn3 0.333 0.667 0.500
Sn4 0.667 0.333 0.500
Sn5 0.000 0.000 0.335
Sn6 0.000 0.000 0.665

Compound: Mn3Sn2
Source: the Alexandria database
Functional: SCAN
Structure: single point on PBEsol structure

Summary:
M_tot: 9.379 μB per formula unit
electronic total energy: -25.3884 eV per atom
symmetry: No. 62
energy relative to the elements: -32 kJ/mol of formula units

Cell lengths 5.273, 7.254, 8.244 Å; angles 90.00, 90.00, 90.00 degrees
Element x y z (fractional)
Mn1 0.489 0.730 0.126
Mn2 0.250 0.412 0.118
Mn3 0.750 0.088 0.618
Mn4 0.750 0.588 0.882
Mn5 0.011 0.230 0.374
Mn6 0.511 0.770 0.626
Mn7 0.489 0.230 0.374
Mn8 0.989 0.270 0.874
Mn9 0.250 0.912 0.382
Mn10 0.989 0.770 0.626
Mn11 0.011 0.730 0.126
Mn12 0.511 0.270 0.874
Sn1 0.750 0.899 0.352
Sn2 0.750 0.399 0.148
Sn3 0.250 0.601 0.852
Sn4 0.250 0.058 0.092
Sn5 0.250 0.558 0.408
Sn6 0.250 0.101 0.648
Sn7 0.750 0.442 0.592
Sn8 0.750 0.942 0.908

Compound: Sr3MnSn
Source: the Alexandria database
Functional: SCAN
Structure: single point on PBEsol structure

Summary:
M_tot: 3.307 μB per formula unit
electronic total energy: -23.9481 eV per atom
symmetry: No. 221
energy relative to the elements: 122 kJ/mol of formula units

Cell lengths 5.619, 5.619, 5.619 Å; angles 90.00, 90.00, 90.00 degrees
Element x y z (fractional)
Sr1 0.000 0.500 0.000
Sr2 0.000 0.000 0.500
Sr3 0.500 0.000 0.000
Mn1 0.000 0.000 0.000
Sn1 0.500 0.500 0.500

Compound: TaMn3Sn
Source: the Alexandria database
Functional: SCAN
Structure: single point on PBEsol structure

Summary:
M_tot: 8.613 μB per formula unit
electronic total energy: -30.2047 eV per atom
symmetry: No. 221
energy relative to the elements: 603 kJ/mol of formula units

Cell lengths 4.675, 4.675, 4.675 Å; angles 90.00, 90.00, 90.00 degrees
Element x y z (fractional)
Mn1 0.000 0.500 0.000
Mn2 0.000 0.000 0.500
Mn3 0.500 0.000 0.000
Sn1 0.000 0.000 0.000
Ta1 0.500 0.500 0.500

Compound: TbMn6Sn6
Source: the Alexandria database
Functional: SCAN
Structure: single point on PBEsol structure

Summary:
M_tot: 13.922 μB per formula unit
electronic total energy: -28.8400 eV per atom
symmetry: No. 191
energy relative to the elements: -299 kJ/mol of formula units

Cell lengths 5.368, 5.368, 8.827 Å; angles 90.00, 90.00, 120.00 degrees
Element x y z (fractional)
Tb1 0.000 0.000 0.000
Mn1 0.500 0.500 0.248
Mn2 0.500 0.500 0.752
Mn3 0.000 0.500 0.752
Mn4 0.500 0.000 0.248
Mn5 0.000 0.500 0.248
Mn6 0.500 0.000 0.752
Sn1 0.000 0.000 0.334
Sn2 0.000 0.000 0.666
Sn3 0.333 0.667 0.000
Sn4 0.667 0.333 0.500
Sn5 0.333 0.667 0.500
Sn6 0.667 0.333 0.000

Compound: TiMnSn4
Source: the Alexandria database
Functional: SCAN
Structure: single point on PBEsol structure

Summary:
M_tot: 2.771 μB per formula unit
electronic total energy: -29.8180 eV per atom
symmetry: No. 180
energy relative to the elements: -91 kJ/mol of formula units

Cell lengths 5.506, 5.506, 13.890 Å; angles 90.00, 90.00, 120.00 degrees
Element x y z (fractional)
Ti1 0.000 0.500 0.833
Ti2 0.500 0.000 0.167
Ti3 0.500 0.500 0.500
Mn1 0.000 0.000 0.833
Mn2 0.000 0.000 0.167
Mn3 0.000 0.000 0.500
Sn1 0.668 0.834 0.333
Sn2 0.166 0.332 0.667
Sn3 0.332 0.166 0.333
Sn4 0.834 0.668 0.667
Sn5 0.166 0.834 0.000
Sn6 0.834 0.166 0.000
Sn7 0.000 0.500 0.448
Sn8 0.500 0.000 0.781
Sn9 0.500 0.000 0.552
Sn10 0.500 0.500 0.115
Sn11 0.000 0.500 0.219
Sn12 0.500 0.500 0.885

Compound: Ti3MnSn
Source: the Alexandria database
Functional: SCAN
Structure: single point on PBEsol structure

Summary:
M_tot: 3.219 μB per formula unit
electronic total energy: -19.4569 eV per atom
symmetry: No. 221
energy relative to the elements: 481 kJ/mol of formula units

Cell lengths 4.941, 4.941, 4.941 Å; angles 90.00, 90.00, 90.00 degrees
Element x y z (fractional)
Mn1 0.500 0.500 0.500
Sn1 0.000 0.000 0.000
Ti1 0.000 0.500 0.000
Ti2 0.000 0.000 0.500
Ti3 0.500 0.000 0.000

Compound: TiMnZn2Sn
Source: the Alexandria database
Functional: SCAN
Structure: single point on PBEsol structure

Summary:
M_tot: 1.686 μB per formula unit
electronic total energy: -19.0503 eV per atom
symmetry: No. 123
energy relative to the elements: 192 kJ/mol of formula units

Cell lengths 4.223, 4.660, 4.660 Å; angles 90.00, 90.00, 90.00 degrees
Element x y z (fractional)
Zn1 0.000 0.000 0.500
Zn2 0.000 0.500 0.000
Mn1 0.000 0.000 0.000
Sn1 0.500 0.500 0.500
Ti1 0.500 0.000 0.000

Compound: TmMn6Sn6
Source: the Alexandria database
Functional: SCAN
Structure: single point on PBEsol structure

Summary:
M_tot: 13.851 μB per formula unit
electronic total energy: -29.2253 eV per atom
symmetry: No. 191
energy relative to the elements: -293 kJ/mol of formula units

Cell lengths 5.354, 5.354, 8.808 Å; angles 90.00, 90.00, 120.00 degrees
Element x y z (fractional)
Tm1 0.000 0.000 0.000
Mn1 0.500 0.000 0.248
Mn2 0.000 0.500 0.752
Mn3 0.500 0.500 0.752
Mn4 0.500 0.000 0.752
Mn5 0.000 0.500 0.248
Mn6 0.500 0.500 0.248
Sn1 0.667 0.333 0.500
Sn2 0.000 0.000 0.668
Sn3 0.000 0.000 0.332
Sn4 0.333 0.667 0.000
Sn5 0.667 0.333 0.000
Sn6 0.333 0.667 0.500

Compound: YMn6Sn6
Source: the Alexandria database
Functional: SCAN
Structure: single point on PBEsol structure

Summary:
M_tot: 13.851 μB per formula unit
electronic total energy: -27.3904 eV per atom
symmetry: No. 191
energy relative to the elements: -306 kJ/mol of formula units

Cell lengths 5.367, 5.367, 8.823 Å; angles 90.00, 90.00, 120.00 degrees
Element x y z (fractional)
Y1 0.000 0.000 0.000
Mn1 0.000 0.500 0.248
Mn2 0.500 0.000 0.752
Mn3 0.000 0.500 0.752
Mn4 0.500 0.500 0.752
Mn5 0.500 0.500 0.248
Mn6 0.500 0.000 0.248
Sn1 0.333 0.667 0.500
Sn2 0.667 0.333 0.500
Sn3 0.333 0.667 0.000
Sn4 0.667 0.333 0.000
Sn5 0.000 0.000 0.666
Sn6 0.000 0.000 0.334

Compound: Y3MnSn
Source: the Alexandria database
Functional: SCAN
Structure: single point on PBEsol structure

Summary:
M_tot: 5.904 μB per formula unit
electronic total energy: -27.2755 eV per atom
symmetry: No. 221
energy relative to the elements: 128 kJ/mol of formula units

Cell lengths 5.616, 5.616, 5.616 Å; angles 90.00, 90.00, 90.00 degrees
Element x y z (fractional)
Y1 0.000 0.500 0.000
Y2 0.000 0.000 0.500
Y3 0.500 0.000 0.000
Mn1 0.500 0.500 0.500
Sn1 0.000 0.000 0.000

Compound: MnZn3Sn
Source: the Alexandria database
Functional: SCAN
Structure: single point on PBEsol structure

Summary:
M_tot: 4.833 μB per formula unit
electronic total energy: -18.1341 eV per atom
symmetry: No. 221
energy relative to the elements: 391 kJ/mol of formula units

Cell lengths 5.025, 5.025, 5.025 Å; angles 90.00, 90.00, 90.00 degrees
Element x y z (fractional)
Zn1 0.000 0.500 0.000
Zn2 0.000 0.000 0.500
Zn3 0.500 0.000 0.000
Mn1 0.500 0.500 0.500
Sn1 0.000 0.000 0.000

Compound: Zr2MnSn2
Source: the Alexandria database
Functional: SCAN
Structure: single point on PBEsol structure

Summary:
M_tot: 4.033 μB per formula unit
electronic total energy: -30.1647 eV per atom
symmetry: No. 139
energy relative to the elements: 65 kJ/mol of formula units

Cell lengths 4.037, 4.037, 7.552 Å; angles 105.50, 105.50, 90.00 degrees
Element x y z (fractional)
Mn1 0.000 0.000 0.000
Sn1 0.405 0.405 0.810
Sn2 0.595 0.595 0.190
Zr1 0.250 0.750 0.500
Zr2 0.750 0.250 0.500

Compound: ZrMn3Sn
Source: the Alexandria database
Functional: SCAN
Structure: single point on PBEsol structure

Summary:
M_tot: 9.576 μB per formula unit
electronic total energy: -23.5456 eV per atom
symmetry: No. 221
energy relative to the elements: 353 kJ/mol of formula units

Cell lengths 4.754, 4.754, 4.754 Å; angles 90.00, 90.00, 90.00 degrees
Element x y z (fractional)
Mn1 0.000 0.500 0.000
Mn2 0.000 0.000 0.500
Mn3 0.500 0.000 0.000
Sn1 0.000 0.000 0.000
Zr1 0.500 0.500 0.500